(1)
A relaxed structure of La3Cr. Source: Alexandria via LeMat-Bulk, functional PBE.

Unit cell a=5.0030 b=5.0030 c=5.0163 alpha=90.00 beta=90.00 gamma=90.00
Last column: nearest neighbours and their distance in Å.
Positions (direct):
La1 0.5000 0.5000 0.0000  4 Cr 3.54, 8 La 3.54
La2 0.0000 0.5000 0.5000  8 La 3.54, 4 Cr 3.54
La3 0.5000 0.0000 0.5000  8 La 3.54, 4 Cr 3.54
Cr1 0.0000 0.0000 0.0000  12 La 3.54

Computed properties:
Symmetry   P4/mmm (123)
DFT formation energy   337 meV/atom
ρ   6.2 Mg/m³


(2)
A relaxed structure of La3Cr. Source: Alexandria via LeMat-Bulk, functional PBE.

Unit cell a=3.5910 b=6.4639 c=6.4639 alpha=63.35 beta=100.67 gamma=79.33
Last column: nearest neighbours and their distance in Å.
Positions (direct):
La1 0.5000 0.5000 0.0000  6 La 3.39-3.59, 2 Cr 3.39
La2 0.0000 0.5000 0.5000  2 Cr 3.39, 6 La 3.39-3.59
La3 0.5000 0.0000 0.5000  6 La 3.39-3.59, 2 Cr 3.39
Cr1 0.0000 0.0000 0.0000  6 La 3.39, 2 Cr 3.59

Computed properties:
Symmetry   R-3m (166)
DFT formation energy   424 meV/atom
ρ   6.2 Mg/m³


(3)
A relaxed structure of La3Cr. Source: Alexandria via LeMat-Bulk, functional PBE.

Unit cell a=7.1395 b=7.1395 c=11.2740 alpha=90.00 beta=90.00 gamma=120.00
Last column: nearest neighbours and their distance in Å.
Positions (direct):
La1 0.1550 0.3101 0.7500  6 La 3.32-3.54, 4 Cr 3.41-3.57
La2 0.8450 0.6899 0.2500  6 La 3.32-3.54, 4 Cr 3.41-3.57
La3 0.0000 0.5000 0.0000  4 Cr 3.49-3.57, 8 La 3.54-3.57
La4 0.5000 0.0000 0.0000  4 Cr 3.49-3.57, 8 La 3.54-3.57
La5 0.0000 0.5000 0.5000  4 Cr 3.49-3.57, 8 La 3.54-3.57
La6 0.5000 0.0000 0.5000  4 Cr 3.49-3.57, 8 La 3.54-3.57
La7 0.5000 0.5000 0.0000  4 Cr 3.49-3.57, 8 La 3.54-3.57
La8 0.1550 0.8450 0.7500  6 La 3.32-3.54, 4 Cr 3.41-3.57
La9 0.3101 0.1550 0.2500  6 La 3.32-3.54, 4 Cr 3.41-3.57
La10 0.5000 0.5000 0.5000  4 Cr 3.49-3.57, 8 La 3.54-3.57
La11 0.6899 0.8450 0.7500  6 La 3.32-3.54, 4 Cr 3.41-3.57
La12 0.8450 0.1550 0.2500  6 La 3.32-3.54, 4 Cr 3.41-3.57
Cr1 0.0000 0.0000 0.0000  12 La 3.41-3.57
Cr2 0.3333 0.6667 0.2500  12 La 3.49-3.57
Cr3 0.0000 0.0000 0.5000  12 La 3.41-3.57
Cr4 0.6667 0.3333 0.7500  12 La 3.49-3.57

Computed properties:
Symmetry   P6_3/mmc (194)
DFT formation energy   360 meV/atom
ρ   6.3 Mg/m³


(4)
A relaxed structure of LaCr. Source: Alexandria via LeMat-Bulk, functional PBE.

Unit cell a=5.3320 b=5.3320 c=8.1743 alpha=90.00 beta=90.00 gamma=120.00
Last column: nearest neighbours and their distance in Å.
Positions (direct):
Cr1 0.3333 0.6667 0.0903  1 Cr 2.61, 1 La 2.78
Cr2 0.3333 0.6667 0.4097  1 Cr 2.61, 1 La 2.78
Cr3 0.6667 0.3333 0.9097  1 Cr 2.61, 1 La 2.78
Cr4 0.6667 0.3333 0.5903  1 Cr 2.61, 1 La 2.78
La1 0.0000 0.0000 0.2500  3 La 3.08, 6 Cr 3.34
La2 0.3333 0.6667 0.7500  2 Cr 2.78, 3 La 3.08
La3 0.6667 0.3333 0.2500  2 Cr 2.78, 3 La 3.08
La4 0.0000 0.0000 0.7500  3 La 3.08, 6 Cr 3.34

Computed properties:
Symmetry   P6_3/mmc (194)
DFT formation energy   740 meV/atom
ρ   6.3 Mg/m³